This record from Alexandria describes TaW after structural relaxation. The functional is PBE.

total DFT energy (no corrections)	-12.104	eV/atom
space-group type	R-3m (166)
crystal system	trigonal
total magnetization	0.00	μB per cell
formation energy	28.81	kJ/mol of atoms

a = 3.026 Å, b = 3.026 Å, c = 26.634 Å
α = 90.00°, β = 90.00°, γ = 120.00°
Positions (direct):
Ta1 0.000 0.000 0.123
Ta2 0.000 0.000 0.877
Ta3 0.333 0.667 0.544
Ta4 0.333 0.667 0.789
Ta5 0.667 0.333 0.211
Ta6 0.667 0.333 0.456
W1 0.000 0.000 0.372
W2 0.000 0.000 0.628
W3 0.333 0.667 0.039
W4 0.333 0.667 0.295
W5 0.667 0.333 0.705
W6 0.667 0.333 0.961

---

This record from Alexandria describes CsRb2AgBr after structural relaxation. The functional is PBE.

total DFT energy (no corrections)	-1.865	eV/atom
space-group type	P4/mmm (123)
uncorrected formation energy	-9.274	kcal/mol of atoms
energy above the most stable polymorph in this dataset	12.04	kJ per mole of atoms
crystal system	tetragonal
total magnetization	0.69	μB per cell

a = 6.414 Å, b = 6.414 Å, c = 8.742 Å
α = 90.00°, β = 90.00°, γ = 90.00°
Positions (direct):
Cs1 0.000 0.000 0.000
Rb1 0.000 0.500 0.500
Rb2 0.500 0.000 0.500
Ag1 0.500 0.500 0.000
Br1 0.500 0.500 0.500

---

This record from Alexandria describes Li7Ag5Hg after structural relaxation. The functional is PBE.

total DFT energy (no corrections)	-2.316	eV/atom
space-group type	Imm2 (44)
crystal system	orthorhombic
total magnetization	0.00	μB per cell
formation energy	-15.95	kJ/mol of atoms

a = 7.140 Å, b = 7.140 Å, c = 7.140 Å
α = 134.08°, β = 96.65°, γ = 100.87°
Positions (direct):
Li1 0.000 0.000 0.000
Li2 0.095 0.811 0.284
Li3 0.344 0.344 0.000
Li4 0.527 0.811 0.716
Li5 0.537 0.037 0.500
Li6 0.670 0.320 0.350
Li7 0.971 0.320 0.650
Ag1 0.106 0.606 0.500
Ag2 0.319 0.310 0.503
Ag3 0.319 0.815 0.009
Ag4 0.807 0.310 0.991
Ag5 0.807 0.815 0.497
Hg1 0.698 0.698 0.000

---

This record from Alexandria describes VNiSb2I after structural relaxation. The functional is PBE.

total DFT energy (no corrections)	-4.016	eV/atom
space-group type	P4/mmm (123)
uncorrected formation energy	21.285	kcal/mol of atoms
energy above the most stable polymorph in this dataset	6.11	kJ per mole of atoms
crystal system	tetragonal
total magnetization	0.18	μB per cell

a = 4.899 Å, b = 4.899 Å, c = 5.311 Å
α = 90.00°, β = 90.00°, γ = 90.00°
Positions (direct):
V1 0.000 0.000 0.000
Ni1 0.500 0.500 0.500
Sb1 0.000 0.500 0.500
Sb2 0.500 0.000 0.500
I1 0.500 0.500 0.000

---

This record from Alexandria describes SrAc9Nd2 after structural relaxation. The functional is PBE.

total DFT energy (no corrections)	-3.981	eV/atom
space-group type	P4/mmm (123)
crystal system	tetragonal
total magnetization	0.00	μB per cell
formation energy	3.42	kJ/mol of atoms

a = 5.590 Å, b = 5.590 Å, c = 16.809 Å
α = 90.00°, β = 90.00°, γ = 90.00°
Positions (direct):
Sr1 0.000 0.000 0.000
Ac1 0.000 0.500 0.175
Ac2 0.000 0.500 0.500
Ac3 0.000 0.500 0.825
Ac4 0.500 0.000 0.175
Ac5 0.500 0.000 0.500
Ac6 0.500 0.000 0.825
Ac7 0.500 0.500 0.000
Ac8 0.500 0.500 0.337
Ac9 0.500 0.500 0.663
Nd1 0.000 0.000 0.335
Nd2 0.000 0.000 0.665

---

This record from Alexandria describes FeIrPd2 after structural relaxation. The functional is PBE.

total DFT energy (no corrections)	-6.937	eV/atom
space-group type	P4mm (99)
energy above the most stable polymorph in this dataset	0.00	kJ per mole of atoms
crystal system	tetragonal
total magnetization	3.13	μB per cell
formation energy	-0.93	kJ/mol of atoms

a = 2.736 Å, b = 2.736 Å, c = 7.662 Å
α = 90.00°, β = 90.00°, γ = 90.00°
Positions (direct):
Fe1 0.000 0.000 0.000
Ir1 0.500 0.500 0.775
Pd1 0.000 0.000 0.511
Pd2 0.500 0.500 0.240

---

This record from Alexandria describes PuCdGaPb after structural relaxation. The functional is PBE.

total DFT energy (no corrections)	-5.541	eV/atom
space-group type	F-43m (216)
crystal system	cubic
total magnetization	22.19	μB per cell
formation energy	-4.37	kJ/mol of atoms

a = 7.350 Å, b = 7.350 Å, c = 7.350 Å
α = 90.00°, β = 90.00°, γ = 90.00°
Positions (direct):
Pu1 0.000 0.000 0.000
Pu2 0.000 0.500 0.500
Pu3 0.500 0.000 0.500
Pu4 0.500 0.500 0.000
Cd1 0.000 0.000 0.500
Cd2 0.000 0.500 0.000
Cd3 0.500 0.000 0.000
Cd4 0.500 0.500 0.500
Ga1 0.250 0.250 0.250
Ga2 0.250 0.750 0.750
Ga3 0.750 0.250 0.750
Ga4 0.750 0.750 0.250
Pb1 0.250 0.250 0.750
Pb2 0.250 0.750 0.250
Pb3 0.750 0.250 0.250
Pb4 0.750 0.750 0.750

---

This record from Alexandria describes KBP2Se8 after structural relaxation. The functional is PBE.

total DFT energy (no corrections)	-3.838	eV/atom
space-group type	R-3 (148)
uncorrected formation energy	0.788	kcal/mol of atoms
crystal system	trigonal
total magnetization	0.00	μB per cell

a = 11.515 Å, b = 11.515 Å, c = 11.515 Å
α = 29.41°, β = 29.41°, γ = 29.41°
Positions (direct):
K1 0.000 0.000 0.000
B1 0.500 0.500 0.500
P1 0.234 0.234 0.234
P2 0.766 0.766 0.766
Se1 0.176 0.422 0.764
Se2 0.236 0.824 0.578
Se3 0.300 0.300 0.300
Se4 0.422 0.764 0.176
Se5 0.578 0.236 0.824
Se6 0.700 0.700 0.700
Se7 0.764 0.176 0.422
Se8 0.824 0.578 0.236

---

This record from Alexandria describes RhW4 after structural relaxation. The functional is PBE.

total DFT energy (no corrections)	-10.689	eV/atom
space-group type	I4/mmm (139)
energy above the most stable polymorph in this dataset	96.89	kJ per mole of atoms
crystal system	tetragonal
total magnetization	0.00	μB per cell
formation energy	110.37	kJ/mol of atoms

a = 4.084 Å, b = 4.084 Å, c = 11.262 Å
α = 90.00°, β = 90.00°, γ = 90.00°
Positions (direct):
Rh1 0.000 0.000 0.000
Rh2 0.500 0.500 0.500
W1 0.000 0.000 0.388
W2 0.000 0.000 0.612
W3 0.000 0.500 0.250
W4 0.000 0.500 0.750
W5 0.500 0.000 0.250
W6 0.500 0.000 0.750
W7 0.500 0.500 0.112
W8 0.500 0.500 0.888

---

This record from Alexandria describes TlSeO4F after structural relaxation. The functional is PBE.

total DFT energy (no corrections)	-4.709	eV/atom
space-group type	C2/m (12)
uncorrected formation energy	-17.823	kcal/mol of atoms
crystal system	monoclinic
total magnetization	0.00	μB per cell

a = 5.693 Å, b = 5.693 Å, c = 6.981 Å
α = 103.25°, β = 103.25°, γ = 77.39°
Positions (direct):
Tl1 0.208 0.208 0.136
Tl2 0.792 0.792 0.864
Se1 0.352 0.352 0.723
Se2 0.648 0.648 0.277
O1 0.145 0.502 0.870
O2 0.224 0.224 0.497
O3 0.466 0.466 0.301
O4 0.498 0.855 0.130
O5 0.502 0.145 0.870
O6 0.534 0.534 0.699
O7 0.776 0.776 0.503
O8 0.855 0.498 0.130
F1 0.033 0.033 0.830
F2 0.967 0.967 0.170

---

This record from Alexandria describes ScAg2N after structural relaxation. The functional is PBE.

total DFT energy (no corrections)	-4.956	eV/atom
space-group type	I-42d (122)
uncorrected formation energy	3.087	kcal/mol of atoms
crystal system	tetragonal
total magnetization	0.00	μB per cell

a = 3.535 Å, b = 3.535 Å, c = 21.746 Å
α = 90.00°, β = 90.00°, γ = 90.00°
Positions (direct):
Sc1 0.000 0.000 0.000
Sc2 0.000 0.500 0.250
Sc3 0.500 0.000 0.750
Sc4 0.500 0.500 0.500
Ag1 0.247 0.250 0.625
Ag2 0.250 0.747 0.875
Ag3 0.250 0.753 0.375
Ag4 0.253 0.250 0.125
Ag5 0.747 0.750 0.125
Ag6 0.750 0.247 0.375
Ag7 0.750 0.253 0.875
Ag8 0.753 0.750 0.625
N1 0.000 0.000 0.500
N2 0.000 0.500 0.750
N3 0.500 0.000 0.250
N4 0.500 0.500 0.000

---

This record from Alexandria describes KCaIr2 after structural relaxation. The functional is PBE.

total DFT energy (no corrections)	-4.798	eV/atom
space-group type	P2/m (10)
energy above the most stable polymorph in this dataset	19.59	kJ per mole of atoms
crystal system	monoclinic
total magnetization	0.00	μB per cell
formation energy	39.27	kJ/mol of atoms

a = 2.855 Å, b = 4.868 Å, c = 6.997 Å
α = 90.00°, β = 99.00°, γ = 90.00°
Positions (direct):
K1 0.000 0.000 0.000
Ca1 0.500 0.000 0.500
Ir1 0.291 0.500 0.659
Ir2 0.709 0.500 0.341